Entry from Alexandria via LeMat-Bulk: a relaxed Cr2Mo crystal (GGA-PBEsol).

Cell lengths 4.7439, 4.7439, 4.7439 Å; angles 108.26, 108.26, 111.93 degrees
Closest atoms and distances in Å follow each position.
Positions (direct):
1 Cr 0.8539 0.3539 0.2078  1 Cr 2.30, 4 Mo 2.51
2 Cr 0.1461 0.6461 0.7922  1 Cr 2.30, 4 Mo 2.51
3 Cr 0.6461 0.8539 0.5000  1 Cr 2.30, 4 Mo 2.51
4 Cr 0.3539 0.1461 0.5000  1 Cr 2.30, 4 Mo 2.51
5 Mo 0.2500 0.2500 0.0000  8 Cr 2.51, 2 Mo 2.66
6 Mo 0.7500 0.7500 0.0000  8 Cr 2.51, 2 Mo 2.66

Energy relative to the lowest polymorph listed for this composition   760 meV/atom
Space group   I4/mcm, No. 140
DFT formation energy   0.838 eV per atom
Crystal system   tetragonal

***

Entry from Alexandria via LeMat-Bulk: a relaxed CrMo crystal (GGA-PBEsol).

Cell lengths 4.2218, 4.2218, 4.2218 Å; angles 60.00, 60.00, 60.00 degrees
Closest atoms and distances in Å follow each position.
Positions (direct):
1 Mo 0.0000 0.0000 0.0000  4 Cr 2.59, 4 Mo 2.59
2 Mo 0.2500 0.2500 0.2500  4 Cr 2.59, 4 Mo 2.59
3 Cr 0.7500 0.7500 0.7500  4 Cr 2.59, 4 Mo 2.59
4 Cr 0.5000 0.5000 0.5000  4 Cr 2.59, 4 Mo 2.59

Space group   Fd-3m, No. 227
DFT formation energy   0.092 eV per atom
Crystal system   cubic

***

Entry from Alexandria via LeMat-Bulk: a relaxed CrMoOs2N crystal (GGA-PBEsol).

Cell lengths 4.3596, 4.3596, 4.3509 Å; angles 90.00, 90.00, 90.00 degrees
Closest atoms and distances in Å follow each position.
Positions (direct):
1 N 0.5000 0.5000 0.5000  8 Os 3.08, 4 Mo 3.08
2 Cr 0.0000 0.0000 0.0000  2 Mo 2.18, 4 Os 2.18
3 Mo 0.0000 0.0000 0.5000  2 Cr 2.18
4 Os 0.5000 0.0000 0.0000  2 Cr 2.18
5 Os 0.0000 0.5000 0.0000  2 Cr 2.18

Formation energy from raw total energies   2.787 eV per atom
Space group   P4/mmm, No. 123
Crystal system   tetragonal

***

Entry from Alexandria via LeMat-Bulk: a relaxed NaCr2Mo crystal (GGA-PBEsol).

Cell lengths 4.3936, 4.3936, 4.3936 Å; angles 60.00, 60.00, 60.00 degrees
Closest atoms and distances in Å follow each position.
Positions (direct):
1 Na 0.0000 0.0000 0.0000  8 Cr 2.69
2 Cr 0.2500 0.2500 0.2500  4 Mo 2.69, 4 Na 2.69
3 Cr 0.7500 0.7500 0.7500  4 Mo 2.69, 4 Na 2.69
4 Mo 0.5000 0.5000 0.5000  8 Cr 2.69

Space group   Fm-3m, No. 225
DFT formation energy   1.034 eV per atom
Crystal system   cubic